Entry 1:
This record from Alexandria via LeMat-Bulk describes a relaxed BaZnAg3 crystal. The functional is PBE.

Values from the calculation:
DFT total energy = -2.476 eV/atom

a b c (Å): 6.8799 6.8799 5.9768
angles (deg): 90.00 90.00 120.00
With the nearest neighbours (Å) after each atom.
Space group P6_3/mmc (No. 194)
Inequivalent atoms, fractional coordinates:
Ba 0.3333 0.6667 0.2500 [2 per cell]  12 Ag 3.43-3.45
Zn 0.0000 0.0000 0.0000 [2 per cell]  6 Ag 2.73, 2 Zn 2.99
Ag 0.1921 0.3842 0.7500 [6 per cell]  2 Zn 2.73, 2 Ag 2.91


Entry 2:
This record from Alexandria via LeMat-Bulk describes a relaxed Ba3ZnAg crystal. The functional is PBE.

Values from the calculation:
DFT total energy = -1.859 eV/atom

a b c (Å): 6.4337 6.4337 6.4337
angles (deg): 90.00 90.00 90.00
With the nearest neighbours (Å) after each atom.
Space group Pm-3m (No. 221)
Inequivalent atoms, fractional coordinates:
Ba 0.0000 0.0000 0.5000 [3 per cell]  2 Ag 3.22
Zn 0.5000 0.5000 0.5000 [1 per cell]  12 Ba 4.55
Ag 0.0000 0.0000 0.0000 [1 per cell]  6 Ba 3.22


Entry 3:
This record from Alexandria via LeMat-Bulk describes a relaxed BaZn4Ag crystal. The functional is PBE.

Values from the calculation:
DFT total energy = -1.691 eV/atom

a b c (Å): 7.9509 7.9509 7.9509
angles (deg): 90.00 90.00 90.00
With the nearest neighbours (Å) after each atom.
Space group F-43m (No. 216)
Inequivalent atoms, fractional coordinates:
Ba 0.0000 0.0000 0.0000 [4 per cell]  12 Zn 3.30, 4 Ag 3.44
Zn 0.1225 0.1225 0.6225 [16 per cell]  6 Zn 2.75-2.87
Ag 0.2500 0.2500 0.2500 [4 per cell]  12 Zn 3.29, 4 Ba 3.44


The following total moment values (in μB/atom) correspond, in order, to the records above: 0.0000, 0.0000, 0.0000.